! Li2TiHRh, optimized geometry, DFT PBE; values from VASP
! DFT total energy ... -24.0 eV/cell
! D(E_F) ... 2.20 states/eV/cell
! Total magnetic moment ... 0.00 Bohr magnetons per cell
&SYSTEM
  ibrav = 0, nat = 5, ntyp = 4
/
ATOMIC_SPECIES
Li 6.94 Li.upf
Rh 102.91 Rh.upf
Ti 47.87 Ti.upf
H 1.01 H.upf
ATOMIC_POSITIONS crystal
Li 0.5000 0.0000 0.0000
Li 0.0000 0.5000 0.0000
Rh 0.5000 0.5000 0.5000
Ti 0.0000 0.0000 0.5000
H 0.0000 0.0000 0.0000
CELL_PARAMETERS angstrom
-2.2870 -2.0109 1.9081
2.7523 -1.3521 1.8739
-0.4105 3.2947 2.9803